A plane-wave DFT calculation with PBE was carried out for crystalline HfTi4N4 at its relaxed geometry.

Computed properties:
SG   No. 87
Volume   11.110 Å³ per atom
Density of states at the Fermi level   4.7 states/eV per cell
Size of the total moment   0.000 μB/cell
VASP energy   -9.910 eV per atom

abc: 4.253 5.296 5.293
angles: 80.67 66.31 66.33
Atoms (fractional coordinates):
Hf  0.000  0.000  0.000
Ti  0.607  0.577  0.209
Ti  0.393  0.423  0.791
Ti  0.184  0.209  0.423
Ti  0.816  0.791  0.577
N  0.897  0.407  0.799
N  0.103  0.593  0.201
N  0.304  0.799  0.593
N  0.696  0.201  0.407